# 1
PBE-GGA CeInNi4P2, optimized geometry; V = 124.5 Å³/f.u.; formation enthalpy at 0 K = -0.56 eV per atom
1.0
-3.2295 0.9066 1.9168
1.5589 -1.3522 3.2661
3.1026 7.5629 1.6503
Ce P In Ni
1 2 1 4
Cartesian
1.5513 3.7814 0.8251
1.1634 4.6491 3.6545
0.2686 2.4681 3.1786
0.0000 0.0000 0.0000
0.7982 6.3351 2.2419
-0.9251 2.1344 1.3252
3.1924 5.2057 2.9165
1.4691 1.0050 1.9999

---

# 2
PBE-GGA LiAlCrSn, optimized geometry; V = 67.4 Å³/f.u.; formation enthalpy at 0 K = -0.03 eV per atom
1.0
4.5684 0.0000 0.0000
2.2842 3.9563 0.0000
2.2842 1.3188 3.7300
Sn Cr Al Li
1 1 1 1
Cartesian
2.2842 1.3188 0.9325
0.0000 0.0000 0.0000
6.8525 3.9563 2.7975
4.5684 2.6375 1.8650

---

# 3
PBE-GGA Na2Ni5P4, optimized geometry; V = 170.5 Å³/f.u.; formation enthalpy at 0 K = -0.41 eV per atom
1.0
-5.1179 -1.7975 -0.3662
-0.6938 -6.1478 -0.4839
-2.8150 -1.3106 5.4168
Na Ni P
2 5 4
Cartesian
-5.1914 -1.9157 1.2405
-2.7415 -1.1925 3.8101
-5.5928 -5.0774 2.1918
-2.9059 -3.9727 -0.4250
-3.0339 -4.1786 2.3749
-2.5590 -0.8988 -0.1831
-0.3469 -3.0739 -0.2419
-2.0589 -2.5944 1.1524
-3.8832 -5.5607 0.8509
-4.7435 -3.6952 3.7158
-6.5678 -6.6615 3.4143

---

# 4
PBE-GGA Ti6HgBi, optimized geometry; V = 146.1 Å³/f.u.; formation enthalpy at 0 K = -0.07 eV per atom
1.0
-1.2810 -4.6421 0.1564
5.0882 -1.4925 -2.6243
-0.3111 0.2846 5.9014
Hg Bi Ti
1 1 6
Cartesian
0.1389 0.1365 5.1908
1.2975 -2.7767 2.4281
1.5008 -2.9321 -0.5194
2.7025 -0.6138 3.9180
0.2520 0.0058 2.2370
3.8199 -3.5185 1.0715
3.9710 -3.6567 -1.7934
2.8619 -0.7597 0.8910

---

# 5
PBE-GGA Er2In4Ga, optimized geometry; V = 184.7 Å³/f.u.; formation enthalpy at 0 K = -0.14 eV per atom
1.0
9.9885 0.0000 0.0000
0.0000 5.5113 -2.5502
0.0000 -0.1981 6.8021
Er In Ga
4 8 2
Cartesian
0.0000 1.8479 3.9934
4.9943 0.7096 1.5336
4.9943 4.6035 2.7183
0.0000 3.4653 0.2585
7.4915 4.1330 -1.9125
2.4971 2.6576 2.1254
7.4914 2.6555 2.1264
2.4971 1.3783 -0.6378
7.4914 5.4112 0.8513
2.4971 -0.0980 3.4006
2.4972 4.1339 -1.9129
7.4913 1.3774 -0.6374
4.9943 2.7556 -1.2751
0.0000 0.0000 0.0000

---

# 6
PBE-GGA SiH, optimized geometry; V = 19.5 Å³/f.u.; energy relative to the lowest polymorph listed for this composition = 1.55 eV/f.u.
1.0
4.9747 0.0000 0.0000
0.0000 4.9747 0.0000
0.0000 0.0000 3.1558
H Si
4 4
Cartesian
0.6364 0.6364 1.5779
3.1238 1.8509 0.0000
1.8509 3.1238 0.0000
4.3383 4.3383 1.5779
1.2613 3.7134 1.5779
3.7134 1.2613 1.5779
1.2260 1.2260 0.0000
3.7487 3.7487 0.0000

---

Asked for total DFT energy (no corrections) across the records above, the calculation gives -47.13, -19.41, -57.74, -52.12, -24.09, -7.19 eV/f.u. in order.